# GeAuCl2

GeAuCl2 after structural relaxation (GGA-PBEsol, the Alexandria database).

The structure belongs to space group Fm-3m (No. 225); the cell edges are 6.754, 6.754 and 6.754 Å and the angles 90.00°, 90.00° and 90.00°. The asymmetric unit holds Ge at (0.000, 0.000, 0.000), Au at (0.000, 0.000, 0.500) and Cl at (0.250, 0.250, 0.250).

The value obtained for the density is 7.3 g/cm3. As for the crystal system: cubic. The calculation puts the calculated total energy at -3.105 eV/atom. The value obtained for the density of states at the Fermi level is 0.3480 states/eV/atom.

---

# GeAuCl3

GeAuCl3 after structural relaxation (GGA-PBEsol, the Alexandria database).

The structure belongs to space group Pm-3m (No. 221); the cell edges are 4.942, 4.942 and 4.942 Å and the angles 90.00°, 90.00° and 90.00°. The asymmetric unit holds Ge at (0.000, 0.000, 0.000), Au at (0.500, 0.500, 0.500) and Cl at (0.000, 0.500, 0.500).

The value obtained for the density is 5.2 g/cm3. As for the crystal system: cubic. The calculation puts the calculated total energy at -2.853 eV/atom. The value obtained for the density of states at the Fermi level is 0.4575 states/eV/atom.

---

# GeP2AuCl

GeP2AuCl after structural relaxation (GGA-PBEsol, the Alexandria database).

The structure belongs to space group P4/mmm (No. 123); the cell edges are 4.713, 4.713 and 4.584 Å and the angles 90.00°, 90.00° and 90.00°. The asymmetric unit holds Ge at (0.000, 0.000, 0.000), P at (0.000, 0.500, 0.000), Au at (0.500, 0.500, 0.500) and Cl at (0.000, 0.000, 0.500).

The value obtained for the density is 6.0 g/cm3. As for the crystal system: tetragonal. The calculation puts the calculated total energy at -3.647 eV/atom. The value obtained for the density of states at the Fermi level is 0.8789 states/eV/atom.